{
  "formula": "PdSBr2",
  "functional": "GGA-PBEsol",
  "state": "relaxed",
  "lattice": [[-1.6400, 2.0900, 3.9025], [-2.9733, -2.3135, 2.8451], [1.4528, -1.4600, 4.2480]],
  "species": ["S", "Br", "Br", "Pd"],
  "fractional_positions": [[0.0000, 0.0000, 0.0000], [0.2500, 0.2500, 0.2500], [0.7500, 0.7500, 0.7500], [0.5000, 0.5000, 0.5000]],
  "e_form_raw_kj_per_mol_fu": 254,
  "vol_a3_per_atom": 18.60,
  "total_magnetization_mub_per_cell": 0.01,
  "mass_density_g_cm3": 6.658,
  "crystal_system": "cubic"
}